# LiMnAgBr6

LiMnAgBr6 after structural relaxation (PBE, Alexandria).

Values from the calculation:
Calculated total energy in eV for the cell shown: -29.7
Space-group type: P312
Formation energy (no corrections) in eV per atom: -0.638
N(E_F) in states/eV/atom: 0.575

```
data_LiMnAgBr6
_space_group_name_H-M_alt 'P 1'
_space_group_IT_number 1
_space_group_name_Hall 'P 1'
_cell_length_a 6.1567
_cell_length_b 6.8101
_cell_length_c 6.8101
_cell_angle_alpha 120.00
_cell_angle_beta 90.00
_cell_angle_gamma 90.00
loop_
_atom_site_label
_atom_site_fract_x
_atom_site_fract_y
_atom_site_fract_z
_atom_site_occupancy
Li1 0.0000 0.3333 0.6667 1
Mn1 0.5000 0.0000 0.0000 1
Ag1 0.5000 0.6667 0.3333 1
Br1 0.7360 0.7025 0.7024 1
Br2 0.7360 0.2976 0.0001 1
Br3 0.7360 0.9999 0.2975 1
Br4 0.2640 0.2976 0.2975 1
Br5 0.2640 0.7025 0.0001 1
Br6 0.2640 0.9999 0.7024 1
```